1.
The following is a PBE-GGA calculation of a relaxed ThIr crystal, from the Open Quantum Materials Database.

Output
The formation energy from the elements is -1006 meV/atom. The calculation puts the total energy at -9.14 eV per atom. The crystal system is hexagonal.

Lattice parameters (Å, degrees): 4.4274 4.4274 5.8869 90.00 90.00 120.00
Last column: nearest neighbours and their distance in Å.
Atoms (fractional coordinates):
Th 0.3333 0.6667 0.2500  6 Ir 2.95
Th 0.6667 0.3333 0.7500  6 Ir 2.95
Ir 0.0000 0.0000 0.0000  2 Ir 2.94, 6 Th 2.95
Ir 0.0000 0.0000 0.5000  2 Ir 2.94, 6 Th 2.95



2.
The following is a PBE-GGA calculation of a relaxed ThIr crystal, from the Open Quantum Materials Database.

Output
The formation energy from the elements is -1017 meV/atom. The calculation puts the total energy at -9.15 eV per atom. The crystal system is orthorhombic.

Lattice parameters (Å, degrees): 3.9157 11.4063 4.2409 90.00 90.00 90.00
Last column: nearest neighbours and their distance in Å.
Atoms (fractional coordinates):
Th 0.0000 0.1367 0.2500  5 Ir 2.92-3.02
Th 0.0000 0.8633 0.7500  5 Ir 2.92-3.02
Th 0.5000 0.3633 0.7500  5 Ir 2.92-3.02
Th 0.5000 0.6367 0.2500  5 Ir 2.92-3.02
Ir 0.0000 0.4018 0.2500  5 Th 2.92-3.02, 2 Ir 3.09
Ir 0.0000 0.5982 0.7500  5 Th 2.92-3.02, 2 Ir 3.09
Ir 0.5000 0.0982 0.7500  5 Th 2.92-3.02, 2 Ir 3.09
Ir 0.5000 0.9018 0.2500  5 Th 2.92-3.02, 2 Ir 3.09



3.
The following is a PBE-GGA calculation of a relaxed ThIr crystal, from the Open Quantum Materials Database.

Output
The formation energy from the elements is -170 meV/atom. The calculation puts the total energy at -8.30 eV per atom. The crystal system is cubic.

Lattice parameters (Å, degrees): 6.3837 6.3837 6.3837 90.00 90.00 90.00
Last column: nearest neighbours and their distance in Å.
Atoms (fractional coordinates):
Th 0.0000 0.0000 0.0000  4 Ir 2.76
Th 0.0000 0.5000 0.5000  4 Ir 2.76
Th 0.5000 0.0000 0.5000  4 Ir 2.76
Th 0.5000 0.5000 0.0000  4 Ir 2.76
Ir 0.2500 0.2500 0.2500  4 Th 2.76
Ir 0.2500 0.7500 0.7500  4 Th 2.76
Ir 0.7500 0.2500 0.7500  4 Th 2.76
Ir 0.7500 0.7500 0.2500  4 Th 2.76



4.
The following is a PBE-GGA calculation of a relaxed ThTlIr crystal, from the Open Quantum Materials Database.

Output
The calculation puts the total energy at -5.86 eV per atom. The crystal system is cubic.

Lattice parameters (Å, degrees): 6.8358 6.8358 6.8358 90.00 90.00 90.00
Last column: nearest neighbours and their distance in Å.
Atoms (fractional coordinates):
Th 0.0000 0.0000 0.0000  4 Tl 2.96
Th 0.0000 0.5000 0.5000  4 Tl 2.96
Th 0.5000 0.0000 0.5000  4 Tl 2.96
Th 0.5000 0.5000 0.0000  4 Tl 2.96
Tl 0.2500 0.2500 0.7500  4 Th 2.96, 4 Ir 2.96
Tl 0.2500 0.7500 0.2500  4 Th 2.96, 4 Ir 2.96
Tl 0.7500 0.2500 0.2500  4 Th 2.96, 4 Ir 2.96
Tl 0.7500 0.7500 0.7500  4 Th 2.96, 4 Ir 2.96
Ir 0.0000 0.0000 0.5000  4 Tl 2.96
Ir 0.0000 0.5000 0.0000  4 Tl 2.96
Ir 0.5000 0.0000 0.0000  4 Tl 2.96
Ir 0.5000 0.5000 0.5000  4 Tl 2.96



What is the formula in the fourth record? ThTlIr